(1)
# PuBiB PBE optimized geometry
# * V: 125.00 Å³/cell
# * DOS(E_F): 3.61 states/eV/f.u.
# * symmetry: Fmmm (69)
# * E_form: 106 kJ/mol of formula units
data_PuBiB
_chemical_formula_sum 'Pu2 Bi2 B2'
_space_group_name_H-M_alt 'P 1'
_space_group_IT_number 1
_cell_length_a 3.3023
_cell_length_b 5.9157
_cell_length_c 6.8651
_cell_angle_alpha 86.15
_cell_angle_beta 76.08
_cell_angle_gamma 73.79
loop_
_space_group_symop_operation_xyz
'x,y,z'
loop_
_atom_site_label
_atom_site_fract_x
_atom_site_fract_y
_atom_site_fract_z
_atom_site_occupancy
B1 0.7500 0.5000 0.5000 1
B2 0.2500 0.5000 0.5000 1
Bi1 0.8705 0.2589 0.0000 1
Bi2 0.1295 0.7411 0.0000 1
Pu1 0.6894 0.0000 0.6212 1
Pu2 0.3106 0.0000 0.3788 1

***

(2)
# RbBi2B PBE optimized geometry
# * V: 302.08 Å³/cell
# * DOS(E_F): 0.12 states/eV/f.u.
# * symmetry: I-42d (122)
# * E_form: 201 kJ/mol of formula units
data_RbBi2B
_chemical_formula_sum 'Rb2 Bi4 B2'
_space_group_name_H-M_alt 'P 1'
_space_group_IT_number 1
_cell_length_a 6.5561
_cell_length_b 6.5561
_cell_length_c 8.4193
_cell_angle_alpha 67.09
_cell_angle_beta 67.09
_cell_angle_gamma 90.00
loop_
_space_group_symop_operation_xyz
'x,y,z'
loop_
_atom_site_label
_atom_site_fract_x
_atom_site_fract_y
_atom_site_fract_z
_atom_site_occupancy
B1 0.5000 0.5000 0.0000 1
B2 0.2500 0.7500 0.5000 1
Bi1 0.4485 0.1250 0.2500 1
Bi2 0.3015 0.6250 0.2500 1
Bi3 0.3750 0.5515 0.7500 1
Bi4 0.8750 0.6985 0.7500 1
Rb1 0.0000 0.0000 0.0000 1
Rb2 0.7500 0.2500 0.5000 1

***

(3)
# Rb2BiB PBE optimized geometry
# * V: 412.43 Å³/cell
# * DOS(E_F): 2.22 states/eV/f.u.
# * symmetry: I-42d (122)
# * E above lowest polymorph: 0 meV per atom
# * E_form: 205 kJ/mol of formula units
data_Rb2BiB
_chemical_formula_sum 'Rb4 Bi2 B2'
_space_group_name_H-M_alt 'P 1'
_space_group_IT_number 1
_cell_length_a 13.0227
_cell_length_b 13.0227
_cell_length_c 9.5242
_cell_angle_alpha 46.87
_cell_angle_beta 46.87
_cell_angle_gamma 90.00
loop_
_space_group_symop_operation_xyz
'x,y,z'
loop_
_atom_site_label
_atom_site_fract_x
_atom_site_fract_y
_atom_site_fract_z
_atom_site_occupancy
B1 0.5000 0.5000 0.0000 1
B2 0.2500 0.7500 0.5000 1
Bi1 0.0000 0.0000 0.0000 1
Bi2 0.7500 0.2500 0.5000 1
Rb1 0.4136 0.1250 0.2500 1
Rb2 0.3365 0.6250 0.2500 1
Rb3 0.3750 0.5864 0.7500 1
Rb4 0.8750 0.6636 0.7500 1

***

(4)
# RbBiB2 PBE optimized geometry
# * V: 219.74 Å³/cell
# * DOS(E_F): 1.81 states/eV/f.u.
# * symmetry: I-42d (122)
# * E_form: 586 kJ/mol of formula units
data_RbBiB2
_chemical_formula_sum 'Rb2 Bi2 B4'
_space_group_name_H-M_alt 'P 1'
_space_group_IT_number 1
_cell_length_a 7.5244
_cell_length_b 7.5244
_cell_length_c 6.5857
_cell_angle_alpha 55.16
_cell_angle_beta 55.16
_cell_angle_gamma 90.00
loop_
_space_group_symop_operation_xyz
'x,y,z'
loop_
_atom_site_label
_atom_site_fract_x
_atom_site_fract_y
_atom_site_fract_z
_atom_site_occupancy
B1 0.7077 0.1250 0.2500 1
B2 0.0423 0.6250 0.2500 1
B3 0.3750 0.2923 0.7500 1
B4 0.8750 0.9577 0.7500 1
Bi1 0.0000 0.0000 0.0000 1
Bi2 0.7500 0.2500 0.5000 1
Rb1 0.5000 0.5000 0.0000 1
Rb2 0.2500 0.7500 0.5000 1

***

(5)
# Rb2BiB PBE optimized geometry
# * V: 153.04 Å³/cell
# * DOS(E_F): 1.21 states/eV/f.u.
# * symmetry: Fm-3m (225)
# * E above lowest polymorph: 453 meV per atom
# * E_form: 380 kJ/mol of formula units
data_Rb2BiB
_chemical_formula_sum 'Rb2 Bi1 B1'
_space_group_name_H-M_alt 'P 1'
_space_group_IT_number 1
_cell_length_a 6.0040
_cell_length_b 6.0040
_cell_length_c 6.0040
_cell_angle_alpha 60.00
_cell_angle_beta 60.00
_cell_angle_gamma 60.00
loop_
_space_group_symop_operation_xyz
'x,y,z'
loop_
_atom_site_label
_atom_site_fract_x
_atom_site_fract_y
_atom_site_fract_z
_atom_site_occupancy
B1 0.0000 0.0000 0.0000 1
Bi1 0.5000 0.5000 0.5000 1
Rb1 0.2500 0.2500 0.2500 1
Rb2 0.7500 0.7500 0.7500 1

***

(6)
# Rb2BiB2S6 PBE optimized geometry
# * V: 307.78 Å³/cell
# * DOS(E_F): 5.51 states/eV/f.u.
# * symmetry: C2/m (12)
# * uncorrected formation energy: -563 meV per atom
data_Rb2BiB2S6
_chemical_formula_sum 'Rb2 Bi1 B2 S6'
_space_group_name_H-M_alt 'P 1'
_space_group_IT_number 1
_cell_length_a 6.7084
_cell_length_b 6.7061
_cell_length_c 8.7847
_cell_angle_alpha 112.24
_cell_angle_beta 90.00
_cell_angle_gamma 120.01
loop_
_space_group_symop_operation_xyz
'x,y,z'
loop_
_atom_site_label
_atom_site_fract_x
_atom_site_fract_y
_atom_site_fract_z
_atom_site_occupancy
Rb1 0.7101 0.4201 0.1316 1
Rb2 0.2899 0.5799 0.8684 1
Bi1 0.5000 0.0000 0.5000 1
B1 0.9088 0.8175 0.7241 1
B2 0.0912 0.1825 0.2759 1
S1 0.7593 0.5186 0.7441 1
S2 0.2393 0.0114 0.2535 1
S3 0.2279 0.9886 0.7465 1
S4 0.7607 0.9886 0.7465 1
S5 0.7721 0.0114 0.2535 1
S6 0.2407 0.4814 0.2559 1

***

Which formula does entry 1 have? PuBiB